# 1
## Ac3U2N7 (PBE)

Data for a relaxed Ac3U2N7 crystal.

It has space group Cmmm (No. 65), with a = 4.3779 Å, b = 22.7753 Å, c = 4.2033 Å, α = 90.00°, β = 90.00° and γ = 90.00°. The asymmetric unit holds Ac at (0.0000, 0.0000, 0.0000), Ac at (0.0000, 0.1795, 0.0000), U at (0.0000, 0.4033, 0.5000), N at (0.0000, 0.0968, 0.5000), N at (0.0000, 0.3102, 0.5000), N at (0.0000, 0.4016, 0.0000) and N at (0.0000, 0.5000, 0.5000).

As for the energy: -8.94 eV per atom. The polymorph energy (0 for the lowest one) comes out at 2.11 eV per formula unit. For the uncorrected formation energy, the calculation gives -1.1756 eV/atom.

# 2
## HoSeO4 (PBE)

Data for a relaxed HoSeO4 crystal.

It has space group I4_1/amd (No. 141, origin choice 2), with a = 7.2429 Å, b = 7.2429 Å, c = 6.4839 Å, α = 90.00°, β = 90.00° and γ = 90.00°. The asymmetric unit holds Ho at (0.0000, 0.2500, 0.3750), Se at (0.0000, 0.2500, 0.8750) and O at (0.0000, 0.0691, 0.6821).

As for the energy: -6.47 eV per atom. For the uncorrected formation energy, the calculation gives -1.8173 eV/atom.

# 3
## Sm3PuSb4 (PBE)

Data for a relaxed Sm3PuSb4 crystal.

It has space group Cmmm (No. 65), with a = 8.9141 Å, b = 12.6064 Å, c = 4.4671 Å, α = 90.00°, β = 90.00° and γ = 90.00°. The asymmetric unit holds Sm at (0.0000, 0.0000, 0.0000), Sm at (0.2500, 0.2500, 0.5000), Pu at (0.0000, 0.5000, 0.0000), Sb at (0.0000, 0.2516, 0.0000) and Sb at (0.2469, 0.5000, 0.5000).

As for the energy: -6.65 eV per atom. The polymorph energy (0 for the lowest one) comes out at 0.00 eV per formula unit. For the uncorrected formation energy, the calculation gives -1.0249 eV/atom.

# 4
## La6CePm2Sm (PBE)

Data for a relaxed La6CePm2Sm crystal.

It has space group C2/m (No. 12), with a = 11.4496 Å, b = 7.1561 Å, c = 9.0557 Å, α = 90.00°, β = 104.34° and γ = 90.00°. The asymmetric unit holds La at (0.1254, 0.0000, 0.4137), La at (0.1756, 0.2649, 0.7962), Ce at (0.0000, 0.0000, 0.0000), Pm at (0.0928, 0.5000, 0.1612) and Sm at (0.0000, 0.5000, 0.5000).

The value obtained for the formation energy is 196 kJ/mol of formula units. As for the energy: -4.77 eV per atom.

# 5
## BaNaHg2Pt (PBE)

Data for a relaxed BaNaHg2Pt crystal.

It has space group P4/mmm (No. 123), with a = 5.3728 Å, b = 5.3728 Å, c = 5.2974 Å, α = 90.00°, β = 90.00° and γ = 90.00°. The asymmetric unit holds Ba at (0.0000, 0.0000, 0.0000), Na at (0.5000, 0.5000, 0.0000), Hg at (0.0000, 0.5000, 0.5000) and Pt at (0.5000, 0.5000, 0.5000).

The value obtained for the formation energy is -140 kJ/mol of formula units. As for the energy: -2.27 eV per atom. The polymorph energy (0 for the lowest one) comes out at 0.78 eV per formula unit.

# 6
## Na2ScBr (PBE)

Data for a relaxed Na2ScBr crystal.

It has space group I-42d (No. 122), with a = 9.2317 Å, b = 9.2317 Å, c = 5.6603 Å, α = 90.00°, β = 90.00° and γ = 90.00°. The asymmetric unit holds Na at (0.1890, 0.2500, 0.1250), Sc at (0.0000, 0.0000, 0.5000) and Br at (0.0000, 0.0000, 0.0000).

As for the energy: -2.78 eV per atom. The polymorph energy (0 for the lowest one) comes out at 0.00 eV per formula unit. For the uncorrected formation energy, the calculation gives -0.1182 eV/atom.

# 7
## Y2BiPd8 (PBE)

Data for a relaxed Y2BiPd8 crystal.

It has space group Immm (No. 71), with a = 4.8125 Å, b = 5.9520 Å, c = 14.5814 Å, α = 90.00°, β = 90.00° and γ = 90.00°. The asymmetric unit holds Y at (0.0000, 0.0000, 0.1870), Bi at (0.0000, 0.0000, 0.5000), Pd at (0.0000, 0.2448, 0.0000), Pd at (0.0000, 0.2629, 0.3551) and Pd at (0.0000, 0.5000, 0.1819).

The value obtained for the formation energy is -589 kJ/mol of formula units. As for the energy: -5.86 eV per atom.

# 8
## YHfC2 (PBE)

Data for a relaxed YHfC2 crystal.

It has space group R-3m (No. 166, hexagonal axes), with a = 3.4093 Å, b = 3.4093 Å, c = 17.0566 Å, α = 90.00°, β = 90.00° and γ = 120.00°. The asymmetric unit holds Y at (0.0000, 0.0000, 0.0000), Hf at (0.0000, 0.0000, 0.5000) and C at (0.0000, 0.0000, 0.2413).

The value obtained for the formation energy is -171 kJ/mol of formula units. As for the energy: -9.16 eV per atom. The polymorph energy (0 for the lowest one) comes out at 0.00 eV per formula unit.

# 9
## Np3Tl3ZnS8 (PBE)

Data for a relaxed Np3Tl3ZnS8 crystal.

It has space group C2/m (No. 12), with a = 13.6401 Å, b = 7.8874 Å, c = 8.8245 Å, α = 90.00°, β = 120.99° and γ = 90.00°. The asymmetric unit holds Np at (0.0000, 0.0000, 0.0000), Np at (0.2500, 0.2500, 0.0000), Tl at (0.0000, 0.5000, 0.5000), Tl at (0.2500, 0.2500, 0.5000), Zn at (0.0000, 0.5000, 0.0000), S at (0.0191, 0.2539, 0.8115), S at (0.2251, 0.5000, 0.1873) and S at (0.2321, 0.0000, 0.1961).

As for the energy: -6.26 eV per atom. For the uncorrected formation energy, the calculation gives -0.9173 eV/atom.

# 10
## NaPO3 (PBE)

Data for a relaxed NaPO3 crystal.

It has space group Pnma (No. 62), with a = 7.8281 Å, b = 8.0063 Å, c = 13.4738 Å, α = 90.00°, β = 90.00° and γ = 90.00°. The asymmetric unit holds Na at (0.0336, 0.2500, 0.2188), Na at (0.1847, 0.0051, 0.5734), P at (0.0256, 0.2500, 0.9591), P at (0.2422, 0.5668, 0.3294), O at (0.0767, 0.0922, 0.8880), O at (0.1027, 0.5336, 0.4026), O at (0.1378, 0.2500, 0.0501), O at (0.1642, 0.7500, 0.0314), O at (0.2181, 0.7500, 0.2781) and O at (0.2242, 0.5564, 0.7477).

As for the energy: -6.54 eV per atom. For the uncorrected formation energy, the calculation gives -2.2214 eV/atom.

# 11
## TlZnClF2 (PBE)

Data for a relaxed TlZnClF2 crystal.

It has space group P4/mmm (No. 123), with a = 4.2924 Å, b = 4.2924 Å, c = 4.9180 Å, α = 90.00°, β = 90.00° and γ = 90.00°. The asymmetric unit holds Tl at (0.0000, 0.0000, 0.0000), Zn at (0.5000, 0.5000, 0.5000), Cl at (0.5000, 0.5000, 0.0000) and F at (0.0000, 0.5000, 0.5000).

As for the energy: -3.52 eV per atom. The polymorph energy (0 for the lowest one) comes out at 0.15 eV per formula unit. For the uncorrected formation energy, the calculation gives -1.6771 eV/atom.

# 12
## Ba2GaHgAs (PBE)

Data for a relaxed Ba2GaHgAs crystal.

It has space group P4/mmm (No. 123), with a = 6.3359 Å, b = 6.3359 Å, c = 5.2510 Å, α = 90.00°, β = 90.00° and γ = 90.00°. The asymmetric unit holds Ba at (0.0000, 0.5000, 0.0000), Ga at (0.0000, 0.0000, 0.5000), Hg at (0.5000, 0.5000, 0.5000) and As at (0.5000, 0.5000, 0.0000).

The value obtained for the formation energy is -122 kJ/mol of formula units. As for the energy: -2.62 eV per atom.